The following is a PBE calculation of an optimized crystal structure of Hg2AuSe, from Alexandria.

Its calculated total energy is -1.72 eV per atom. Its crystal system is orthorhombic. For the raw formation energy, the calculation gives 0.5 eV per formula unit.

The structure in extended XYZ format:
```
4
Lattice="-1.774 3.336 4.364 1.774 -3.336 4.364 1.774 3.336 -4.364" Properties=species:S:1:pos:R:3 pbc="T T T"
Hg 0.000 0.000 0.000
Hg 0.000 3.336 2.013
Au 0.000 0.000 4.197
Se 1.774 0.000 2.360
```

The following is a PBE calculation of an optimized crystal structure of HgAu2Se, from Alexandria.

Its calculated total energy is -2.32 eV per atom. Its crystal system is cubic. For the raw formation energy, the calculation gives 1.0 eV per formula unit.

The structure in extended XYZ format:
```
4
Lattice="0.000 3.433 3.433 3.433 0.000 3.433 3.433 3.433 0.000" Properties=species:S:1:pos:R:3 pbc="T T T"
Hg 0.000 0.000 0.000
Au 1.717 1.717 1.717
Au 3.433 3.433 3.433
Se 5.150 5.150 5.150
```

The following is a PBE calculation of an optimized crystal structure of HgAuSe3, from Alexandria.

Its calculated total energy is -2.23 eV per atom. Its crystal system is cubic. For the raw formation energy, the calculation gives 2.9 eV per formula unit. The value obtained for the energy above the most stable polymorph in this dataset is 0.000 eV per atom.

The structure in extended XYZ format:
```
5
Lattice="5.135 0.000 0.000 0.000 5.135 0.000 0.000 0.000 5.135" Properties=species:S:1:pos:R:3 pbc="T T T"
Hg 0.000 0.000 0.000
Au 2.568 2.568 2.568
Se 0.000 2.568 2.568
Se 2.568 0.000 2.568
Se 2.568 2.568 0.000
```

The following is a PBE calculation of an optimized crystal structure of Hg2AuSe, from Alexandria.

Its calculated total energy is -1.74 eV per atom. Its crystal system is monoclinic. For the raw formation energy, the calculation gives 0.4 eV per formula unit.

The structure in extended XYZ format:
```
4
Lattice="2.880 0.000 0.000 0.000 6.146 0.000 -0.009 0.000 5.401" Properties=species:S:1:pos:R:3 pbc="T T T"
Hg 0.000 0.000 0.000
Hg 0.025 3.073 2.705
Au 1.475 3.073 0.005
Se 0.010 0.000 2.701
```

The following is a PBE calculation of an optimized crystal structure of Hg2AuSe, from Alexandria.

Its calculated total energy is -1.67 eV per atom. Its crystal system is orthorhombic. For the raw formation energy, the calculation gives 0.7 eV per formula unit.

The structure in extended XYZ format:
```
4
Lattice="2.858 0.000 0.000 0.000 4.022 0.000 0.000 0.000 8.157" Properties=species:S:1:pos:R:3 pbc="T T T"
Hg 0.000 0.000 0.000
Hg 1.429 2.011 2.317
Au 1.429 2.011 6.228
Se 0.000 0.000 4.687
```

The following is a PBE calculation of an optimized crystal structure of HgAu2Se, from Alexandria.

Its calculated total energy is -2.46 eV per atom. Its crystal system is orthorhombic. For the raw formation energy, the calculation gives 0.5 eV per formula unit.

The structure in extended XYZ format:
```
4
Lattice="3.016 0.000 0.000 0.000 4.081 0.000 0.000 0.000 6.815" Properties=species:S:1:pos:R:3 pbc="T T T"
Hg 0.000 0.000 0.000
Au 1.508 2.040 1.543
Au 1.508 2.040 5.272
Se 1.508 0.000 3.407
```

The following is a PBE calculation of an optimized crystal structure of Hg2AuSe, from Alexandria.

Its calculated total energy is -1.80 eV per atom. Its crystal system is trigonal. For the raw formation energy, the calculation gives 0.1 eV per formula unit.

The structure in extended XYZ format:
```
4
Lattice="2.044 1.180 6.604 -2.044 1.180 6.604 0.000 -2.360 6.604" Properties=species:S:1:pos:R:3 pbc="T T T"
Hg 0.000 0.000 4.940
Hg 0.000 0.000 14.873
Au 0.000 0.000 9.907
Se 0.000 0.000 0.000
```

The following is a PBE calculation of an optimized crystal structure of HgAu2Se, from Alexandria.

Its calculated total energy is -2.41 eV per atom. Its crystal system is orthorhombic. For the raw formation energy, the calculation gives 0.7 eV per formula unit.

The structure in extended XYZ format:
```
4
Lattice="2.954 0.000 0.000 0.000 4.717 0.000 0.000 0.000 6.458" Properties=species:S:1:pos:R:3 pbc="T T T"
Hg 0.000 0.000 0.000
Au 0.000 2.358 3.229
Au 1.477 2.358 0.000
Se 1.477 0.000 3.229
```

What is the formula in the third record?
HgAuSe3

Which value of calculated total energy does entry 1 give?
-1.72 eV per atom

Which of these has the highest raw formation energy?
HgAuSe3